Record 1
The following is a DFT calculation (PBE-GGA) of an optimized crystal structure of Li3TcSe.

Raw formation energy in eV per atom: 0.302
Fermi-level density of states in states/eV/f.u.: 3.32
Symmetry: Pm-3m (221)
DFT total energy in hartree per atom: -0.1329
Spin magnetization in μB/f.u.: 4.00

Cell: 4.760 4.760 4.760 Å, 90.00 90.00 90.00°
Sites, in units of the cell vectors:
Li 0.000 0.000 0.500
Li 0.000 0.500 0.000
Li 0.500 0.000 0.000
Tc 0.500 0.500 0.500
Se 0.000 0.000 0.000


Record 2
The following is a DFT calculation (PBE-GGA) of an optimized crystal structure of LiTcSe.

Raw formation energy in eV per atom: -0.009
Fermi-level density of states in states/eV/f.u.: 3.23
Symmetry: P-6m2 (187)
DFT total energy in hartree per atom: -0.1935
Spin magnetization in μB/f.u.: 0.28

Cell: 4.159 4.159 3.198 Å, 90.00 90.00 120.00°
Sites, in units of the cell vectors:
Li 0.000 0.000 0.000
Tc 0.667 0.333 0.500
Se 0.333 0.667 0.500


Record 3
The following is a DFT calculation (PBE-GGA) of an optimized crystal structure of Li3TcSe.

Raw formation energy in eV per atom: 0.880
Fermi-level density of states in states/eV/f.u.: 10.40
Symmetry: Pm-3m (221)
DFT total energy in hartree per atom: -0.1117
Spin magnetization in μB/f.u.: 3.97

Cell: 4.921 4.921 4.921 Å, 90.00 90.00 90.00°
Sites, in units of the cell vectors:
Li 0.000 0.000 0.500
Li 0.000 0.500 0.000
Li 0.500 0.000 0.000
Tc 0.000 0.000 0.000
Se 0.500 0.500 0.500